A geometry-optimized Ca2AsO4 structure. Source: Alexandria, functional PBE.

```
data_Ca2AsO4
_space_group_name_H-M_alt 'P 1'
_space_group_IT_number 1
_cell_length_a 5.830
_cell_length_b 6.113
_cell_length_c 6.494
_cell_angle_alpha 90.00
_cell_angle_beta 111.16
_cell_angle_gamma 90.00
loop_
_space_group_symop_operation_xyz
'x,y,z'
loop_
_atom_site_label
_atom_site_type_symbol
_atom_site_fract_x
_atom_site_fract_y
_atom_site_fract_z
Ca1 Ca 0.768 0.750 0.574
Ca2 Ca 0.347 0.250 0.972
Ca3 Ca 0.232 0.250 0.426
Ca4 Ca 0.653 0.750 0.028
O1 O 0.450 0.977 0.240
O2 O 0.966 0.250 0.062
O3 O 0.020 0.250 0.652
O4 O 0.450 0.523 0.240
O5 O 0.980 0.750 0.348
O6 O 0.034 0.750 0.938
O7 O 0.550 0.477 0.760
O8 O 0.550 0.023 0.760
As1 As 0.225 0.750 0.219
As2 As 0.775 0.250 0.781
```

Output
raw formation energy = -202.51 kJ/mol of atoms
SG = P2_1/m, No. 11
spin magnetization = 0.908 μB per formula unit